A relaxed Zr3Pd2Rh crystal, computed with PBE.

Summary:
Space group   Cmmm, No. 65
Total magnetic moment   0.00 μB/f.u.
D(E_F)   5.8 states/eV per cell
ΔE_f   -0.647 eV per atom

Cell: 3.195 4.774 7.688 Å, 108.09 90.00 90.00°
Sites, in units of the cell vectors:
1 Zr 0.500 0.500 0.000
2 Zr 0.500 0.843 0.686
3 Zr 0.500 0.157 0.314
4 Pd 0.000 0.320 0.640
5 Pd 0.000 0.680 0.360
6 Rh 0.000 0.000 0.000